Record 1
# PtRh2AuSe PBE relaxed
data_PtRh2AuSe
_cell_length_a 4.510
_cell_length_b 4.510
_cell_length_c 4.815
_cell_angle_alpha 90.00
_cell_angle_beta 90.00
_cell_angle_gamma 90.00
_space_group_name_H-M_alt 'P 4/m m m'
_space_group_IT_number 123
_space_group_name_Hall '-P 4 2'
loop_
_atom_site_label
_atom_site_type_symbol
_atom_site_fract_x
_atom_site_fract_y
_atom_site_fract_z
_atom_site_occupancy
Pt1 Pt 0.000 0.000 0.000 1
Rh1 Rh 0.000 0.500 0.500 1
Au1 Au 0.500 0.500 0.000 1
Se1 Se 0.500 0.500 0.500 1
# magnetic moment	0.38	μB/f.u.
# energy	-4.7047	eV/atom
# raw formation energy	384	kJ/mol of formula units

=====

Record 2
# ReIr3 PBE relaxed
data_ReIr3
_cell_length_a 4.944
_cell_length_b 4.944
_cell_length_c 4.944
_cell_angle_alpha 90.00
_cell_angle_beta 90.00
_cell_angle_gamma 90.00
_space_group_name_H-M_alt 'P m -3 n'
_space_group_IT_number 223
_space_group_name_Hall '-P 4n 2 3'
loop_
_atom_site_label
_atom_site_type_symbol
_atom_site_fract_x
_atom_site_fract_y
_atom_site_fract_z
_atom_site_occupancy
Re1 Re 0.000 0.000 0.000 1
Ir1 Ir 0.000 0.250 0.500 1
# magnetic moment	0.00	μB/f.u.
# energy	-9.4601	eV/atom
# E above lowest polymorph	0.449	eV/atom

=====

Record 3
# FeTc2Ni PBE relaxed
data_FeTc2Ni
_cell_length_a 8.707
_cell_length_b 2.658
_cell_length_c 4.586
_cell_angle_alpha 90.00
_cell_angle_beta 100.39
_cell_angle_gamma 90.00
_space_group_name_H-M_alt 'C 1 2/m 1'
_space_group_IT_number 12
loop_
_space_group_symop_operation_xyz
'x,y,z'
'-x,-y,-z'
'-x,y,-z'
'x,-y,z'
'x+1/2,y+1/2,z'
'-x+1/2,-y+1/2,-z'
'-x+1/2,y+1/2,-z'
'x+1/2,-y+1/2,z'
loop_
_atom_site_label
_atom_site_type_symbol
_atom_site_fract_x
_atom_site_fract_y
_atom_site_fract_z
_atom_site_occupancy
Fe1 Fe 0.000 0.000 0.000 1
Tc1 Tc 0.250 0.000 0.750 1
Ni1 Ni 0.000 0.500 0.500 1
# magnetic moment	2.23	μB/f.u.
# energy	-8.6197	eV/atom
# E above lowest polymorph	0.145	eV/atom

=====

Record 4
# Rb2VTeI6 PBE relaxed
data_Rb2VTeI6
_cell_length_a 8.958
_cell_length_b 8.958
_cell_length_c 11.447
_cell_angle_alpha 90.00
_cell_angle_beta 90.00
_cell_angle_gamma 90.00
_space_group_name_H-M_alt 'I 4/m m m'
_space_group_IT_number 139
_space_group_name_Hall '-I 4 2'
loop_
_atom_site_label
_atom_site_type_symbol
_atom_site_fract_x
_atom_site_fract_y
_atom_site_fract_z
_atom_site_occupancy
Rb1 Rb 0.000 0.500 0.250 1
V1 V 0.000 0.000 0.000 1
Te1 Te 0.000 0.000 0.500 1
I1 I 0.000 0.000 0.242 1
I2 I 0.218 0.218 0.000 1
# magnetic moment	0.78	μB/f.u.
# energy	-2.8985	eV/atom
# raw formation energy	-530	kJ/mol of formula units

=====

Record 5
# CrFeNi5 PBE relaxed
data_CrFeNi5
_cell_length_a 8.418
_cell_length_b 4.635
_cell_length_c 8.431
_cell_angle_alpha 90.00
_cell_angle_beta 90.00
_cell_angle_gamma 90.00
_space_group_name_H-M_alt 'C 1 2/c 1'
_space_group_IT_number 15
loop_
_space_group_symop_operation_xyz
'x,y,z'
'-x,-y,-z'
'-x,y,-z+1/2'
'x,-y,z+1/2'
'x+1/2,y+1/2,z'
'-x+1/2,-y+1/2,-z'
'-x+1/2,y+1/2,-z+1/2'
'x+1/2,-y+1/2,z+1/2'
loop_
_atom_site_label
_atom_site_type_symbol
_atom_site_fract_x
_atom_site_fract_y
_atom_site_fract_z
_atom_site_occupancy
Cr1 Cr 0.000 0.001 0.250 1
Fe1 Fe 0.250 0.250 0.000 1
Ni1 Ni 0.000 0.499 0.750 1
Ni2 Ni 0.049 0.251 0.500 1
Ni3 Ni 0.250 0.248 0.699 1
# magnetic moment	6.15	μB/f.u.
# energy	-6.5339	eV/atom
# E above lowest polymorph	0.067	eV/atom

=====

Record 6
# DyEr2HfP4 PBE relaxed
data_DyEr2HfP4
_cell_length_a 6.752
_cell_length_b 3.894
_cell_length_c 6.755
_cell_angle_alpha 90.00
_cell_angle_beta 109.25
_cell_angle_gamma 90.00
_space_group_name_H-M_alt 'P 1 2/m 1'
_space_group_IT_number 10
loop_
_space_group_symop_operation_xyz
'x,y,z'
'-x,-y,-z'
'-x,y,-z'
'x,-y,z'
loop_
_atom_site_label
_atom_site_type_symbol
_atom_site_fract_x
_atom_site_fract_y
_atom_site_fract_z
_atom_site_occupancy
Dy1 Dy 0.000 0.000 0.000 1
Er1 Er 0.500 0.000 0.500 1
Er2 Er 0.500 0.500 0.000 1
Hf1 Hf 0.000 0.500 0.500 1
P1 P 0.239 0.000 0.737 1
P2 P 0.245 0.500 0.258 1
# magnetic moment	0.00	μB/f.u.
# energy	-7.1976	eV/atom

=====

Which formula does entry 3 have? FeTc2Ni

=====

The highest magnetic moment belongs to which entry? CrFeNi5